{"formula": "Na2NdZr2Se6", "functional": "PBE", "state": "optimized geometry", "lattice": [[3.423, -6.008, 0.000], [3.423, 6.008, 0.000], [-2.245, 0.000, 7.171]], "species": ["Na", "Na", "Nd", "Zr", "Zr", "Se", "Se", "Se", "Se", "Se", "Se"], "frac_coords": [[0.160, 0.840, 0.000], [0.840, 0.160, 0.000], [0.000, 0.000, 0.500], [0.333, 0.667, 0.500], [0.667, 0.333, 0.500], [0.072, 0.428, 0.726], [0.285, 0.285, 0.274], [0.428, 0.072, 0.726], [0.572, 0.928, 0.274], [0.715, 0.715, 0.726], [0.928, 0.572, 0.274]], "m_tot_mub_per_fu": 0.00, "energy_ev_per_atom": -5.5640, "raw_formation_energy_kcal_per_mol_atoms": -33.11}